First-principles (PBE) data for a relaxed structure of LiRe2Te, as listed in Alexandria via LeMat-Bulk.

abc: 5.1837 8.2988 3.0635
angles: 90.00 90.00 90.00
Space group Cmmm (No. 65)
One atom of each set of equivalent atoms:
Li  0.0000  0.0000  0.0000 [2 per cell]
Re  0.2500  0.2500  0.5000 [4 per cell]
Te  0.0000  0.5000  0.0000 [2 per cell]

- D(E_F): 7.915 states/eV per cell
- Distance to the lowest polymorph of the same formula: 562 meV/atom
- VASP energy: -53.170 eV per cell

First-principles (PBE) data for a relaxed structure of LiRe2Te, as listed in Alexandria via LeMat-Bulk.

abc: 2.9841 4.2244 5.3384
angles: 90.00 90.00 90.00
Space group Pmmm (No. 47)
One atom of each set of equivalent atoms:
Li  0.0000  0.0000  0.0000 [1 per cell]
Re  0.5000  0.5000  0.2198 [2 per cell]
Te  0.0000  0.0000  0.5000 [1 per cell]

- D(E_F): 3.983 states/eV per cell
- Distance to the lowest polymorph of the same formula: 523 meV/atom
- VASP energy: -26.744 eV per cell

First-principles (PBE) data for a relaxed structure of LiRe2Te, as listed in Alexandria via LeMat-Bulk.

abc: 3.0372 4.6061 9.9044
angles: 90.00 90.00 90.00
Space group Cmmm (No. 65)
One atom of each set of equivalent atoms:
Li  0.0000  0.0000  0.0000 [2 per cell]
Re  0.0000  0.5000  0.2331 [4 per cell]
Te  0.0000  0.0000  0.5000 [2 per cell]

- D(E_F): 6.946 states/eV per cell
- Distance to the lowest polymorph of the same formula: 746 meV/atom
- VASP energy: -51.704 eV per cell

Calculated values (eV/atom) of energy relative to the elements, uncorrected for the records, taken in order: 0.84; 0.80; 1.02.